Density functional theory data (PBE-GGA) for Cs3Dy2HoS6 after structural relaxation.

abc: 7.101 7.101 8.404
angles: 98.09 98.09 120.00
Element x y z (fractional)
Cs1 0.000 0.000 0.000
Cs2 0.333 0.667 0.000
Cs3 0.667 0.333 0.000
Dy1 0.167 0.833 0.500
Dy2 0.833 0.167 0.500
Ho1 0.500 0.500 0.500
S1 0.107 0.440 0.319
S2 0.228 0.228 0.681
S3 0.440 0.107 0.319
S4 0.560 0.893 0.681
S5 0.772 0.772 0.319
S6 0.893 0.560 0.681

## Properties
E_form (uncorrected): -1833.2 meV per atom
total moment: 0.00 μB per atom